VASP calculation (PBE) on crystalline FeSn2Ir at its relaxed geometry.

a b c (Å): 4.7027 4.7027 4.7027
angles (deg): 60.00 60.00 60.00
Closest atoms and distances in Å follow each position.
Fractional coordinates of all 4 atoms:
Fe1 0.0000 0.0000 0.0000  4 Ir 2.88, 4 Sn 2.88
Sn1 0.2500 0.2500 0.2500  4 Fe 2.88, 4 Sn 2.88
Sn2 0.5000 0.5000 0.5000  4 Sn 2.88, 4 Ir 2.88
Ir1 0.7500 0.7500 0.7500  4 Fe 2.88, 4 Sn 2.88

Values from the calculation:
Calculated total energy in eV per atom: -5.87
Space group: F-43m


VASP calculation (PBE) on crystalline LiTbIr at its relaxed geometry.

a b c (Å): 4.2854 4.2854 4.2854
angles (deg): 60.00 60.00 60.00
Closest atoms and distances in Å follow each position.
Fractional coordinates of all 3 atoms:
Li1 0.0000 0.0000 0.0000  4 Ir 2.62, 4 Tb 2.62
Tb1 0.2500 0.2500 0.2500  4 Li 2.62
Ir1 0.7500 0.7500 0.7500  4 Li 2.62

Values from the calculation:
Calculated total energy in eV per atom: -5.30
Space group: F-43m


VASP calculation (PBE) on crystalline CdSn2Pd2 at its relaxed geometry.

a b c (Å): 7.0441 7.0441 7.0441
angles (deg): 145.70 145.70 49.29
Closest atoms and distances in Å follow each position.
Fractional coordinates of all 5 atoms:
Cd1 0.0000 0.0000 0.0000  8 Sn 3.28
Sn1 0.3855 0.3855 0.0000  4 Pd 2.71, 1 Sn 2.93
Sn2 0.6145 0.6145 0.0000  4 Pd 2.71, 1 Sn 2.93
Pd1 0.2500 0.7500 0.5000  4 Sn 2.71, 4 Pd 2.94
Pd2 0.7500 0.2500 0.5000  4 Sn 2.71, 4 Pd 2.94

Values from the calculation:
Calculated total energy in eV per atom: -4.03
Offset from the most stable computed form in kJ/mol of formula units: 0
Space group: I4/mmm


VASP calculation (PBE) on crystalline LuSe at its relaxed geometry.

a b c (Å): 3.9742 3.9742 3.9742
angles (deg): 60.00 60.00 60.00
Closest atoms and distances in Å follow each position.
Fractional coordinates of all 2 atoms:
Lu1 0.0000 0.0000 0.0000  6 Se 2.81
Se1 0.5000 0.5000 0.5000  6 Lu 2.81

Values from the calculation:
Calculated total energy in eV per atom: -5.59
Space group: Fm-3m


VASP calculation (PBE) on crystalline Na4InGeIr2 at its relaxed geometry.

a b c (Å): 4.6551 4.6551 6.7072
angles (deg): 90.00 90.00 90.00
Closest atoms and distances in Å follow each position.
Fractional coordinates of all 8 atoms:
Na1 0.0000 0.0000 0.0000  4 Na 2.91, 4 Ir 2.96
Na2 0.0000 0.5000 0.7406  2 Ge 2.83, 4 Na 2.83-2.91, 2 In 2.91, 1 Ir 3.14
Na3 0.5000 0.0000 0.2594  2 Ge 2.83, 4 Na 2.83-2.91, 2 In 2.91, 1 Ir 3.14
Na4 0.5000 0.5000 0.5000  4 Ir 2.78, 4 Na 2.83
In1 0.5000 0.5000 0.0000  4 Na 2.91, 4 Ir 2.96
Ge1 0.0000 0.0000 0.5000  4 Ir 2.78, 4 Na 2.83
Ir1 0.0000 0.5000 0.2727  2 Ge 2.78, 4 Na 2.78-2.96, 2 In 2.96
Ir2 0.5000 0.0000 0.7273  2 Ge 2.78, 4 Na 2.78-2.96, 2 In 2.96

Values from the calculation:
Calculated total energy in eV per atom: -3.66
Space group: P-4m2


VASP calculation (PBE) on crystalline NaHfHg3Se4 at its relaxed geometry.

a b c (Å): 6.9412 6.9412 6.9412
angles (deg): 90.00 90.00 90.00
Closest atoms and distances in Å follow each position.
Fractional coordinates of all 9 atoms:
Na1 0.0000 0.0000 0.0000  4 Se 3.45
Hf1 0.5000 0.5000 0.5000  4 Se 2.56
Hg1 0.0000 0.5000 0.5000  4 Se 2.89
Hg2 0.5000 0.0000 0.5000  4 Se 2.89
Hg3 0.5000 0.5000 0.0000  4 Se 2.89
Se1 0.2867 0.2867 0.2867  1 Hf 2.56
Se2 0.2867 0.7133 0.7133  1 Hf 2.56
Se3 0.7133 0.2867 0.7133  1 Hf 2.56
Se4 0.7133 0.7133 0.2867  1 Hf 2.56

Values from the calculation:
Calculated total energy in eV per atom: -3.33
Space group: P-43m


Q: Which of these has the highest calculated total energy?
A: NaHfHg3Se4